First-principles (PBE) data for crystalline KNiHOs2 at its relaxed geometry, as listed in Alexandria via LeMat-Bulk.

Output
total energy	-5.277	eV/atom

Unit cell a=3.8339 b=3.8339 c=4.8104 alpha=90.00 beta=90.00 gamma=90.00
Closest atoms and distances in Å follow each position.
Space group P4/mmm (No. 123)
Unique sites:
1 K 0.0000 0.0000 0.0000 x1  4 Ni 2.71
2 Ni 0.5000 0.5000 0.0000 x1  2 H 2.41
3 H 0.5000 0.5000 0.5000 x1  4 Os 1.92
4 Os 0.0000 0.5000 0.5000 x2  2 H 1.92

First-principles (PBE) data for crystalline KNi2PH2 at its relaxed geometry, as listed in Alexandria via LeMat-Bulk.

Output
total energy	-4.359	eV/atom

Unit cell a=6.4722 b=4.9857 c=6.7452 alpha=90.00 beta=106.35 gamma=90.00
Closest atoms and distances in Å follow each position.
Space group P2_1/m (No. 11)
Unique sites:
1 K 0.1825 0.2500 0.3199 x2  2 H 2.88-3.00
2 Ni 0.3372 0.9999 0.8235 x4  2 H 1.65-1.66
3 P 0.3787 0.7500 0.0935 x2  4 Ni 2.16
4 H 0.1663 0.2500 0.7420 x2  2 Ni 1.65
5 H 0.2739 0.7500 0.6555 x2  2 Ni 1.66

> The lowest total energy belongs to which entry?

KNiHOs2

> What is the total energy in the first record?

-5.277 eV/atom